This record from Alexandria describes an optimized crystal structure of Dy3Ho3MgS8. The functional is PBE.

a = 7.7583 Å, b = 7.7583 Å, c = 7.7583 Å
α = 59.93°, β = 59.93°, γ = 59.93°
Sites, in units of the cell vectors:
Dy (0.0000, 0.5000, 0.5000)
Dy (0.5000, 0.0000, 0.5000)
Dy (0.5000, 0.5000, 0.0000)
Ho (0.0000, 0.0000, 0.5000)
Ho (0.0000, 0.5000, 0.0000)
Ho (0.5000, 0.0000, 0.0000)
Mg (0.5000, 0.5000, 0.5000)
S (0.2494, 0.2494, 0.2494)
S (0.2572, 0.7415, 0.7415)
S (0.2585, 0.2585, 0.7428)
S (0.2585, 0.7428, 0.2585)
S (0.7415, 0.2572, 0.7415)
S (0.7415, 0.7415, 0.2572)
S (0.7428, 0.2585, 0.2585)
S (0.7506, 0.7506, 0.7506)

**E_form (uncorrected)**: -1.973 eV/atom
**Total DFT energy (no corrections)**: -6.1168 eV per atom
**Crystal system**: trigonal
**Space group**: R-3m, No. 166
**Fermi-level density of states**: 3.768 states/eV/f.u.



This record from Alexandria describes an optimized crystal structure of CdRhW. The functional is PBE.

a = 2.8651 Å, b = 2.8651 Å, c = 7.0738 Å
α = 90.00°, β = 90.00°, γ = 120.00°
Sites, in units of the cell vectors:
Cd (0.0000, 0.0000, 0.0000)
Rh (0.6667, 0.3333, 0.3471)
W (0.3333, 0.6667, 0.6371)

**ΔH_f (0 K)**: 144 meV per atom
**Distance to the lowest polymorph of the same formula**: 247 meV per atom
**Total DFT energy (no corrections)**: -6.9296 eV per atom
**Crystal system**: trigonal
**Space group**: P3m1, No. 156
**Fermi-level density of states**: 2.839 states/eV/f.u.



This record from Alexandria describes an optimized crystal structure of Ce2Ga3Pd4Au. The functional is PBE.

a = 4.0677 Å, b = 4.0677 Å, c = 11.7793 Å
α = 90.00°, β = 90.00°, γ = 90.00°
Sites, in units of the cell vectors:
Ce (0.0000, 0.5000, 0.2414)
Ce (0.5000, 0.0000, 0.7586)
Ga (0.0000, 0.0000, 0.0000)
Ga (0.0000, 0.5000, 0.6276)
Ga (0.5000, 0.0000, 0.3724)
Pd (0.0000, 0.0000, 0.5000)
Pd (0.0000, 0.5000, 0.8390)
Pd (0.5000, 0.0000, 0.1610)
Pd (0.5000, 0.5000, 0.5000)
Au (0.5000, 0.5000, 0.0000)

**ΔH_f (0 K)**: -710 meV per atom
**Total DFT energy (no corrections)**: -5.2099 eV per atom
**Crystal system**: tetragonal
**Space group**: P-4m2, No. 115
**Fermi-level density of states**: 11.192 states/eV/f.u.



This record from Alexandria describes an optimized crystal structure of ErAl5. The functional is PBE.

a = 5.6754 Å, b = 5.6754 Å, c = 5.6754 Å
α = 134.66°, β = 115.95°, γ = 81.93°
Sites, in units of the cell vectors:
Er (0.0000, 0.0000, 0.0000)
Al (0.1028, 0.3367, 0.7661)
Al (0.4295, 0.6633, 0.7661)
Al (0.5000, 0.0000, 0.5000)
Al (0.5705, 0.3367, 0.2339)
Al (0.8972, 0.6633, 0.2339)

**ΔH_f (0 K)**: -222 meV per atom
**Total DFT energy (no corrections)**: -4.1008 eV per atom
**Crystal system**: orthorhombic
**Space group**: Immm, No. 71
**Fermi-level density of states**: 1.788 states/eV/f.u.



This record from Alexandria describes an optimized crystal structure of AcZn11Os. The functional is PBE.

a = 7.0773 Å, b = 7.0773 Å, c = 6.9468 Å
α = 97.73°, β = 97.73°, γ = 137.36°
Sites, in units of the cell vectors:
Ac (0.0000, 0.0000, 0.0000)
Zn (0.0000, 0.0000, 0.5000)
Zn (0.0000, 0.5000, 0.0000)
Zn (0.0268, 0.3777, 0.3645)
Zn (0.2727, 0.5083, 0.7675)
Zn (0.3777, 0.0268, 0.3645)
Zn (0.4917, 0.7273, 0.2325)
Zn (0.5000, 0.0000, 0.0000)
Zn (0.5083, 0.2727, 0.7675)
Zn (0.6223, 0.9732, 0.6355)
Zn (0.7273, 0.4917, 0.2325)
Zn (0.9732, 0.6223, 0.6355)
Os (0.5000, 0.5000, 0.5000)

**ΔH_f (0 K)**: -117 meV per atom
**Total DFT energy (no corrections)**: -2.3747 eV per atom
**Crystal system**: monoclinic
**Space group**: C2/m, No. 12
**Fermi-level density of states**: 4.585 states/eV/f.u.



This record from Alexandria describes an optimized crystal structure of Y6SiSe2S3. The functional is PBE.

a = 6.9731 Å, b = 6.9731 Å, c = 6.9386 Å
α = 99.64°, β = 99.64°, γ = 120.00°
Sites, in units of the cell vectors:
Y (0.0862, 0.4056, 0.7593)
Y (0.2337, 0.2337, 0.2421)
Y (0.4056, 0.0862, 0.7593)
Y (0.5944, 0.9138, 0.2407)
Y (0.7663, 0.7663, 0.7579)
Y (0.9138, 0.5944, 0.2407)
Si (0.0000, 0.0000, 0.5000)
Se (0.3334, 0.6666, 0.5000)
Se (0.6666, 0.3334, 0.5000)
S (0.1702, 0.8298, 0.0000)
S (0.5000, 0.5000, 0.0000)
S (0.8298, 0.1702, 0.0000)

**E_form (uncorrected)**: -1.768 eV/atom
**Total DFT energy (no corrections)**: -7.0643 eV per atom
**Crystal system**: monoclinic
**Space group**: C2/m, No. 12
**Fermi-level density of states**: 5.573 states/eV/f.u.



Q: The lowest total DFT energy (no corrections) belongs to which entry?
A: Y6SiSe2S3